[1]
! PBE RbCeHg2, optimized geometry; values from VASP
&SYSTEM
  ibrav = 0, nat = 12, ntyp = 3
/
ATOMIC_SPECIES
Rb 85.47 Rb.upf
Ce 140.12 Ce.upf
Hg 200.59 Hg.upf
ATOMIC_POSITIONS crystal
Rb 0.0000 0.0000 0.0000
Rb 0.3333 0.6667 0.6667
Rb 0.6667 0.3333 0.3333
Ce 0.0000 0.0000 0.5000
Ce 0.3333 0.6667 0.1667
Ce 0.6667 0.3333 0.8333
Hg 0.0000 0.0000 0.2384
Hg 0.0000 0.0000 0.7616
Hg 0.3333 0.6667 0.4282
Hg 0.3333 0.6667 0.9051
Hg 0.6667 0.3333 0.0949
Hg 0.6667 0.3333 0.5718
CELL_PARAMETERS angstrom
4.0568 0.0000 0.0000
-2.0284 3.5133 0.0000
0.0000 0.0000 30.4244
! energy relative to the elements = -0.053 eV per atom
! excess energy over the best structure of this formula in the dataset = 0.1420 eV/atom
! space group = R-3m (166)



[2]
! PBE RbCeHg, optimized geometry; values from VASP
&SYSTEM
  ibrav = 0, nat = 12, ntyp = 3
/
ATOMIC_SPECIES
Rb 85.47 Rb.upf
Ce 140.12 Ce.upf
Hg 200.59 Hg.upf
ATOMIC_POSITIONS crystal
Rb 0.1613 0.0000 0.0000
Rb 0.1613 0.5000 0.5000
Rb 0.8387 0.0000 0.0000
Rb 0.8387 0.5000 0.5000
Ce 0.3723 0.0000 0.3470
Ce 0.3723 0.5000 0.8470
Ce 0.6277 0.0000 0.3470
Ce 0.6277 0.5000 0.8470
Hg 0.0000 0.0000 0.3328
Hg 0.0000 0.5000 0.8328
Hg 0.5000 0.0000 0.0133
Hg 0.5000 0.5000 0.5133
CELL_PARAMETERS angstrom
18.1988 0.0000 0.0000
0.0000 3.9076 0.0000
0.0000 0.0000 6.7457
! energy relative to the elements = 0.189 eV per atom
! space group = Amm2 (38)



[3]
! PBE RbCe2HgS5, optimized geometry; values from VASP
&SYSTEM
  ibrav = 0, nat = 18, ntyp = 4
/
ATOMIC_SPECIES
Rb 85.47 Rb.upf
Ce 140.12 Ce.upf
Hg 200.59 Hg.upf
S 32.06 S.upf
ATOMIC_POSITIONS crystal
Rb 0.2500 0.2500 0.0000
Rb 0.7500 0.7500 0.0000
Ce 0.1634 0.6634 0.8268
Ce 0.3366 0.1634 0.5000
Ce 0.6634 0.8366 0.5000
Ce 0.8366 0.3366 0.1732
Hg 0.2500 0.7500 0.5000
Hg 0.7500 0.2500 0.5000
S 0.0000 0.0000 0.0000
S 0.0285 0.2376 0.5000
S 0.2376 0.7376 0.2091
S 0.2624 0.4715 0.5000
S 0.4715 0.9715 0.2091
S 0.5000 0.5000 0.0000
S 0.5285 0.0285 0.7909
S 0.7376 0.5285 0.5000
S 0.7624 0.2624 0.7909
S 0.9715 0.7624 0.5000
CELL_PARAMETERS angstrom
-3.9443 3.9443 7.4091
3.9443 -3.9443 7.4091
3.9443 3.9443 -7.4091
! E_tot = -5.127 eV/atom
! space group = I4/mcm (140)



[4]
! PBE Rb3Ce2HgS6, optimized geometry; values from VASP
&SYSTEM
  ibrav = 0, nat = 12, ntyp = 4
/
ATOMIC_SPECIES
Rb 85.47 Rb.upf
Ce 140.12 Ce.upf
Hg 200.59 Hg.upf
S 32.06 S.upf
ATOMIC_POSITIONS crystal
Rb 0.0000 0.0000 0.0000
Rb 0.3446 0.6554 0.0000
Rb 0.6554 0.3446 0.0000
Ce 0.1718 0.8282 0.5000
Ce 0.8282 0.1718 0.5000
Hg 0.5000 0.5000 0.5000
S 0.0642 0.4354 0.2912
S 0.2465 0.2465 0.6704
S 0.4354 0.0642 0.2912
S 0.5646 0.9358 0.7088
S 0.7535 0.7535 0.3296
S 0.9358 0.5646 0.7088
CELL_PARAMETERS angstrom
3.5370 -6.5577 0.0000
3.5370 6.5577 0.0000
-2.1385 0.0000 7.6306
! E_tot = -4.695 eV/atom
! space group = C2/m (12)



[5]
! PBE RbCeHgSe3, optimized geometry; values from VASP
&SYSTEM
  ibrav = 0, nat = 12, ntyp = 4
/
ATOMIC_SPECIES
Rb 85.47 Rb.upf
Ce 140.12 Ce.upf
Hg 200.59 Hg.upf
Se 78.96 Se.upf
ATOMIC_POSITIONS crystal
Rb 0.2164 0.2500 0.2431
Rb 0.7836 0.7500 0.7569
Ce 0.3236 0.7500 0.8568
Ce 0.6764 0.2500 0.1432
Hg 0.0981 0.2500 0.6136
Hg 0.9019 0.7500 0.3864
Se 0.1072 0.2500 0.8715
Se 0.2257 0.7500 0.5411
Se 0.4646 0.7500 0.1482
Se 0.5354 0.2500 0.8518
Se 0.7743 0.2500 0.4589
Se 0.8928 0.7500 0.1285
CELL_PARAMETERS angstrom
9.1901 0.0000 0.0000
0.0000 4.4573 0.0000
-3.1104 0.0000 9.9522
! E_tot = -4.106 eV/atom
! space group = P2_1/m (11)



[6]
! PBE Rb2CeHgSe4, optimized geometry; values from VASP
&SYSTEM
  ibrav = 0, nat = 8, ntyp = 4
/
ATOMIC_SPECIES
Rb 85.47 Rb.upf
Ce 140.12 Ce.upf
Hg 200.59 Hg.upf
Se 78.96 Se.upf
ATOMIC_POSITIONS crystal
Rb 0.0000 0.0000 0.0000
Rb 0.5000 0.5000 0.0000
Ce 0.0000 0.5000 0.5000
Hg 0.5000 0.0000 0.5000
Se 0.2031 0.0000 0.7111
Se 0.2682 0.5000 0.3236
Se 0.7318 0.5000 0.6764
Se 0.7969 0.0000 0.2889
CELL_PARAMETERS angstrom
7.7464 0.0000 0.0000
0.0000 4.2639 0.0000
-2.9834 0.0000 7.9004
! E_tot = -3.876 eV/atom
! space group = P2/m (10)



[7]
! PBE Rb2CeHg2Se4, optimized geometry; values from VASP
&SYSTEM
  ibrav = 0, nat = 9, ntyp = 4
/
ATOMIC_SPECIES
Rb 85.47 Rb.upf
Ce 140.12 Ce.upf
Hg 200.59 Hg.upf
Se 78.96 Se.upf
ATOMIC_POSITIONS crystal
Rb 0.1286 0.1286 0.0719
Rb 0.8714 0.8714 0.9281
Ce 0.0000 0.0000 0.5000
Hg 0.3062 0.3062 0.4751
Hg 0.6938 0.6938 0.5249
Se 0.1771 0.1771 0.7292
Se 0.4781 0.4781 0.7160
Se 0.5219 0.5219 0.2840
Se 0.8229 0.8229 0.2708
CELL_PARAMETERS angstrom
8.5901 -2.1169 0.0000
8.5901 2.1169 0.0000
-3.6453 0.0000 7.8952
! E_tot = -3.475 eV/atom
! space group = C2/m (12)



[8]
! PBE Rb3Ce2HgSe6, optimized geometry; values from VASP
&SYSTEM
  ibrav = 0, nat = 12, ntyp = 4
/
ATOMIC_SPECIES
Rb 85.47 Rb.upf
Ce 140.12 Ce.upf
Hg 200.59 Hg.upf
Se 78.96 Se.upf
ATOMIC_POSITIONS crystal
Rb 0.0000 0.0000 0.0000
Rb 0.3432 0.6568 0.0000
Rb 0.6568 0.3432 0.0000
Ce 0.1719 0.8281 0.5000
Ce 0.8281 0.1719 0.5000
Hg 0.5000 0.5000 0.5000
Se 0.0699 0.4332 0.2901
Se 0.2459 0.2459 0.6762
Se 0.4332 0.0699 0.2901
Se 0.5668 0.9301 0.7099
Se 0.7541 0.7541 0.3238
Se 0.9301 0.5668 0.7099
CELL_PARAMETERS angstrom
3.6831 -6.7681 0.0000
3.6831 6.7681 0.0000
-2.2857 0.0000 7.9506
! E_tot = -4.309 eV/atom
! space group = C2/m (12)



[9]
! PBE Rb4Ce3HgSe8, optimized geometry; values from VASP
&SYSTEM
  ibrav = 0, nat = 16, ntyp = 4
/
ATOMIC_SPECIES
Rb 85.47 Rb.upf
Ce 140.12 Ce.upf
Hg 200.59 Hg.upf
Se 78.96 Se.upf
ATOMIC_POSITIONS crystal
Rb 0.0000 0.0000 0.0000
Rb 0.0000 0.5000 0.5000
Rb 0.5000 0.0000 0.5000
Rb 0.5000 0.5000 0.0000
Ce 0.0000 0.0000 0.5000
Ce 0.0000 0.5000 0.0000
Ce 0.5000 0.0000 0.0000
Hg 0.5000 0.5000 0.5000
Se 0.2242 0.7365 0.7365
Se 0.2329 0.2329 0.2329
Se 0.2635 0.2635 0.7758
Se 0.2635 0.7758 0.2635
Se 0.7365 0.2242 0.7365
Se 0.7365 0.7365 0.2242
Se 0.7671 0.7671 0.7671
Se 0.7758 0.2635 0.2635
CELL_PARAMETERS angstrom
4.3657 2.5205 7.9696
-4.3657 2.5205 7.9696
0.0000 -5.0410 7.9696
! E_tot = -4.522 eV/atom
! space group = R-3m (166)



[10]
! PBE Rb3Ce3HgTe8, optimized geometry; values from VASP
&SYSTEM
  ibrav = 0, nat = 15, ntyp = 4
/
ATOMIC_SPECIES
Rb 85.47 Rb.upf
Ce 140.12 Ce.upf
Hg 200.59 Hg.upf
Te 127.60 Te.upf
ATOMIC_POSITIONS crystal
Rb 0.0000 0.0000 0.0000
Rb 0.0000 0.5000 0.0000
Rb 0.5000 0.0000 0.0000
Ce 0.0000 0.5000 0.5000
Ce 0.5000 0.0000 0.5000
Ce 0.5000 0.5000 0.5000
Hg 0.0000 0.0000 0.5000
Te 0.2077 0.2077 0.6815
Te 0.2579 0.6925 0.7142
Te 0.2641 0.2641 0.2973
Te 0.3075 0.7421 0.2858
Te 0.6925 0.2579 0.7142
Te 0.7359 0.7359 0.7027
Te 0.7421 0.3075 0.2858
Te 0.7923 0.7923 0.3185
CELL_PARAMETERS angstrom
7.5908 -4.7976 0.0000
7.5908 4.7976 0.0000
-4.7518 0.0000 8.5572
! E_tot = -4.136 eV/atom
! space group = C2/m (12)



[11]
! PBE Rb3Ce2HgTe6, optimized geometry; values from VASP
&SYSTEM
  ibrav = 0, nat = 12, ntyp = 4
/
ATOMIC_SPECIES
Rb 85.47 Rb.upf
Ce 140.12 Ce.upf
Hg 200.59 Hg.upf
Te 127.60 Te.upf
ATOMIC_POSITIONS crystal
Rb 0.0000 0.0000 0.0000
Rb 0.3423 0.6577 0.0000
Rb 0.6577 0.3423 0.0000
Ce 0.1733 0.8267 0.5000
Ce 0.8267 0.1733 0.5000
Hg 0.5000 0.5000 0.5000
Te 0.0718 0.4301 0.2868
Te 0.2500 0.2500 0.6750
Te 0.4301 0.0718 0.2868
Te 0.5699 0.9282 0.7132
Te 0.7500 0.7500 0.3250
Te 0.9282 0.5699 0.7132
CELL_PARAMETERS angstrom
3.9291 -7.2389 0.0000
3.9291 7.2389 0.0000
-2.5004 0.0000 8.4737
! E_tot = -3.856 eV/atom
! space group = C2/m (12)



[12]
! PBE Ce6ReHg3, optimized geometry; values from VASP
&SYSTEM
  ibrav = 0, nat = 10, ntyp = 3
/
ATOMIC_SPECIES
Ce 140.12 Ce.upf
Re 186.21 Re.upf
Hg 200.59 Hg.upf
ATOMIC_POSITIONS crystal
Ce 0.0841 0.6624 0.6337
Ce 0.3376 0.9159 0.3663
Ce 0.3492 0.3492 0.1281
Ce 0.6508 0.6508 0.8719
Ce 0.6624 0.0841 0.6337
Ce 0.9159 0.3376 0.3663
Re 0.5000 0.5000 0.5000
Hg 0.0000 0.0000 0.0000
Hg 0.1734 0.1734 0.7499
Hg 0.8266 0.8266 0.2501
CELL_PARAMETERS angstrom
5.0082 -3.4145 0.0000
5.0082 3.4145 0.0000
-2.0284 0.0000 7.9662
! energy relative to the elements = -0.038 eV per atom
! space group = C2/m (12)